a.
Material: Rb5DyO4
Method: DFT, GGA-PBE
State: relaxed

a = 6.6565 Å, b = 9.1576 Å, c = 8.5553 Å
α = 90.00°, β = 90.00°, γ = 90.00°
Last column: nearest neighbours and their distance in Å.
Fractional coordinates of all 20 atoms:
O 0.6130 0.5000 0.2840  1 Dy 2.18
O 0.9627 0.7017 0.5000  1 Dy 2.19
O 0.0373 0.2017 0.0000  1 Dy 2.19
O 0.9627 0.2983 0.5000  1 Dy 2.19
O 0.6130 0.5000 0.7160  1 Dy 2.18
O 0.3870 0.0000 0.7840  1 Dy 2.18
O 0.0373 0.7983 0.0000  1 Dy 2.19
O 0.3870 0.0000 0.2160  1 Dy 2.18
Rb 0.1743 0.0000 0.5000  4 O 2.81-3.07
Rb 0.7415 0.1889 0.2368  4 O 2.83-3.00
Rb 0.8257 0.5000 0.0000  4 O 2.81-3.07
Rb 0.7415 0.8111 0.7632  4 O 2.83-3.00
Rb 0.7415 0.8111 0.2368  4 O 2.83-3.00
Rb 0.2585 0.6889 0.2632  4 O 2.83-3.00
Rb 0.7415 0.1889 0.7632  4 O 2.83-3.00
Rb 0.2585 0.6889 0.7368  4 O 2.83-3.00
Rb 0.2585 0.3111 0.2632  4 O 2.83-3.00
Rb 0.2585 0.3111 0.7368  4 O 2.83-3.00
Dy 0.7861 0.5000 0.5000  4 O 2.18-2.19
Dy 0.2139 0.0000 0.0000  4 O 2.18-2.19

Output
SG: Pmmn (59)
DOS at the Fermi energy, states/eV/cell: 0.0

---

b.
Material: Rb5DyO4
Method: DFT, GGA-PBE
State: relaxed

a = 3.7435 Å, b = 7.6719 Å, c = 9.1244 Å
α = 104.03°, β = 101.84°, γ = 90.00°
Last column: nearest neighbours and their distance in Å.
Fractional coordinates of all 10 atoms:
Rb 0.1528 0.3228 0.3057  3 O 2.59-2.67
Rb 0.8472 0.6772 0.6943  3 O 2.59-2.67
Rb 0.5000 0.5000 0.0000  4 O 2.94
Rb 0.1591 0.8635 0.3183  3 O 2.63-2.75
Rb 0.8409 0.1365 0.6817  3 O 2.63-2.75
O 0.3660 0.9173 0.7320  1 Dy 2.32, 2 Rb 2.59
O 0.6340 0.0827 0.2680  1 Dy 2.32, 2 Rb 2.59
O 0.0006 0.7963 0.0012  2 Dy 2.44, 1 Rb 2.67
O 0.9994 0.2037 0.9988  2 Dy 2.44, 1 Rb 2.67
Dy 0.5000 0.0000 0.0000  6 O 2.32-2.44

Output
SG: C2/m (12)

---

Tell me which of them is the least stable. Sure, it is b.

---

a.
Material: Rb3DyO3
Method: DFT, GGA-PBE
State: relaxed

a = 7.4393 Å, b = 7.8420 Å, c = 11.9589 Å
α = 86.39°, β = 90.00°, γ = 90.00°
Last column: nearest neighbours and their distance in Å.
Fractional coordinates of all 28 atoms:
Dy 0.0915 0.8400 0.0707  4 O 2.11-2.22
Dy 0.4085 0.8400 0.5707  4 O 2.11-2.22
Dy 0.9085 0.1600 0.9293  4 O 2.11-2.22
Dy 0.5915 0.1600 0.4293  4 O 2.11-2.22
O 0.9468 0.7002 0.1977  1 Dy 2.11
O 0.6438 0.2585 0.9471  1 Dy 2.13
O 0.4468 0.2998 0.3023  1 Dy 2.11
O 0.9501 0.8827 0.9092  2 Dy 2.21-2.22
O 0.1438 0.7415 0.5529  1 Dy 2.13
O 0.0499 0.1173 0.0908  2 Dy 2.21-2.22
O 0.4501 0.1173 0.5908  2 Dy 2.21-2.22
O 0.8562 0.2585 0.4471  1 Dy 2.13
O 0.0532 0.2998 0.8023  1 Dy 2.11
O 0.5532 0.7002 0.6977  1 Dy 2.11
O 0.5499 0.8827 0.4092  2 Dy 2.21-2.22
O 0.3562 0.7415 0.0529  1 Dy 2.13
Rb 0.6574 0.6467 0.9204  4 O 2.78-3.04
Rb 0.6930 0.3806 0.6888  2 O 2.72-3.03
Rb 0.8426 0.6467 0.4204  4 O 2.78-3.04
Rb 0.8070 0.3806 0.1888  2 O 2.72-3.03
Rb 0.1242 0.0777 0.3381  3 O 2.81-3.01
Rb 0.3070 0.6194 0.3112  2 O 2.72-3.03
Rb 0.3758 0.0777 0.8381  3 O 2.81-3.01
Rb 0.3426 0.3533 0.0796  4 O 2.78-3.04
Rb 0.8758 0.9223 0.6619  3 O 2.81-3.01
Rb 0.1930 0.6194 0.8112  2 O 2.72-3.03
Rb 0.1574 0.3533 0.5796  4 O 2.78-3.04
Rb 0.6242 0.9223 0.1619  3 O 2.81-3.01

Output
SG: P2_1/c (14)
DOS at the Fermi energy, states/eV/cell: 0.0

---

b.
Material: Rb3DyO3
Method: DFT, GGA-PBE
State: relaxed

a = 7.3655 Å, b = 7.3655 Å, c = 7.3368 Å
α = 85.33°, β = 85.33°, γ = 116.96°
Last column: nearest neighbours and their distance in Å.
Fractional coordinates of all 14 atoms:
O 0.5530 0.8309 0.2675  1 Dy 2.13
O 0.1049 0.1049 0.1529  2 Dy 2.18-2.20
O 0.8951 0.8951 0.8471  2 Dy 2.18-2.20
O 0.1691 0.4470 0.7325  1 Dy 2.13
O 0.4470 0.1691 0.7325  1 Dy 2.13
O 0.8309 0.5530 0.2675  1 Dy 2.13
Rb 0.2596 0.7404 0.0000  4 O 2.93-3.21
Rb 0.7896 0.2104 0.5000  2 O 2.81
Rb 0.6404 0.6404 0.6412  1 O 2.66
Rb 0.7404 0.2596 0.0000  4 O 2.93-3.21
Rb 0.3596 0.3596 0.3588  1 O 2.66
Rb 0.2104 0.7896 0.5000  2 O 2.81
Dy 0.1781 0.1781 0.8502  4 O 2.13-2.20
Dy 0.8219 0.8219 0.1498  4 O 2.13-2.20

Output
SG: C2/m (12)
DOS at the Fermi energy, states/eV/cell: 0.0

---

Tell me which of them is the least stable. Sure, it is b.

---

a.
Material: RbDyS2O8
Method: DFT, GGA-PBE
State: relaxed

a = 5.3447 Å, b = 9.5705 Å, c = 13.5745 Å
α = 90.00°, β = 90.00°, γ = 90.00°
Last column: nearest neighbours and their distance in Å.
Fractional coordinates of all 48 atoms:
O 0.5138 0.1520 0.5997  1 S 1.49
O 0.7813 0.4356 0.8903  1 S 1.49
O 0.5660 0.8423 0.1422  1 S 1.50
O 0.9340 0.6577 0.6422  1 S 1.50
O 0.2187 0.9356 0.8903  1 S 1.49
O 0.6865 0.8976 0.9778  1 S 1.49
O 0.1865 0.3976 0.5222  1 S 1.49
O 0.4340 0.3423 0.1422  1 S 1.50
O 0.7187 0.0644 0.3903  1 S 1.49
O 0.0138 0.6520 0.9003  1 S 1.49
O 0.5138 0.3480 0.4003  1 S 1.49
O 0.2187 0.5644 0.1097  1 S 1.49
O 0.9340 0.8423 0.3578  1 S 1.50
O 0.4862 0.8480 0.4003  1 S 1.49
O 0.0138 0.8480 0.0997  1 S 1.49
O 0.7187 0.4356 0.6097  1 S 1.49
O 0.3135 0.1024 0.0222  1 S 1.49
O 0.1865 0.1024 0.4778  1 S 1.49
O 0.2813 0.5644 0.3903  1 S 1.49
O 0.0660 0.1577 0.6422  1 S 1.50
O 0.0660 0.3423 0.3578  1 S 1.50
O 0.8135 0.6024 0.4778  1 S 1.49
O 0.4862 0.6520 0.5997  1 S 1.49
O 0.3135 0.3976 0.9778  1 S 1.49
O 0.8135 0.8976 0.5222  1 S 1.49
O 0.4340 0.1577 0.8578  1 S 1.50
O 0.7813 0.0644 0.1097  1 S 1.49
O 0.6865 0.6024 0.0222  1 S 1.49
O 0.5660 0.6577 0.8578  1 S 1.50
O 0.2813 0.9356 0.6097  1 S 1.49
O 0.9862 0.3480 0.0997  1 S 1.49
O 0.9862 0.1520 0.9003  1 S 1.49
Rb 0.2500 0.4224 0.7500  12 O 3.09-3.42
Rb 0.7500 0.5776 0.2500  12 O 3.09-3.42
Rb 0.7500 0.9224 0.7500  12 O 3.09-3.42
Rb 0.2500 0.0776 0.2500  12 O 3.09-3.42
S 0.7354 0.9135 0.4173  4 O 1.49-1.50
S 0.7354 0.5865 0.5827  4 O 1.49-1.50
S 0.7646 0.9135 0.0827  4 O 1.49-1.50
S 0.7646 0.5865 0.9173  4 O 1.49-1.50
S 0.2354 0.0865 0.9173  4 O 1.49-1.50
S 0.2354 0.4135 0.0827  4 O 1.49-1.50
S 0.2646 0.0865 0.5827  4 O 1.49-1.50
S 0.2646 0.4135 0.4173  4 O 1.49-1.50
Dy 0.1717 0.7500 0.5000  8 O 2.35-2.47
Dy 0.8283 0.2500 0.5000  8 O 2.35-2.47
Dy 0.3283 0.7500 0.0000  8 O 2.35-2.47
Dy 0.6717 0.2500 0.0000  8 O 2.35-2.47

Output
SG: Pnna (52)
DOS at the Fermi energy, states/eV/cell: 0.0

---

b.
Material: RbDyS2O8
Method: DFT, GGA-PBE
State: relaxed

a = 5.3698 Å, b = 5.3698 Å, c = 8.4843 Å
α = 90.00°, β = 90.00°, γ = 120.00°
Last column: nearest neighbours and their distance in Å.
Fractional coordinates of all 12 atoms:
O 0.3740 0.2479 0.3374  1 S 1.50
O 0.8739 0.6260 0.3374  1 S 1.50
O 0.7521 0.1261 0.3374  1 S 1.50
O 0.1261 0.3740 0.6626  1 S 1.50
O 0.6667 0.3333 0.1030  1 S 1.46
O 0.3333 0.6667 0.8970  1 S 1.46
O 0.2479 0.8739 0.6626  1 S 1.50
O 0.6260 0.7521 0.6626  1 S 1.50
Rb 0.0000 0.0000 0.0000  12 O 3.22-3.37
S 0.6667 0.3333 0.2747  4 O 1.46-1.50
S 0.3333 0.6667 0.7253  4 O 1.46-1.50
Dy 0.0000 0.0000 0.5000  6 O 2.24

Output
SG: P-3 (147)
DOS at the Fermi energy, states/eV/cell: 0.0

---

Tell me which of them is the least stable. Sure, it is a.